# 1
First-principles (PBE) data for crystalline LiEr2NbN4 at its relaxed geometry, as listed in Alexandria via LeMat-Bulk.

Output
formation energy from raw total energies	-1.33	eV per atom
space group	Fmm2 (42)

Cell: 4.6960 4.6960 5.7778 Å, 114.06 114.06 89.80°
Closest atoms and distances in Å follow each position.
Sites, in units of the cell vectors:
Nb 0.8923 0.8923 0.0000  4 N 1.96-2.11
N 0.9367 0.4775 0.0000  1 Nb 1.96
N 0.1608 0.1608 0.4413  1 Nb 2.11, 2 Er 2.34
Er 0.1840 0.6840 0.5000  6 N 2.34-2.39
Li 0.4424 0.4424 0.0000  4 N 2.33-2.38
N 0.7196 0.7196 0.5587  1 Nb 2.11, 2 Er 2.34
Er 0.6840 0.1840 0.5000  6 N 2.34-2.39
N 0.4775 0.9367 0.0000  1 Nb 1.96

# 2
First-principles (PBE) data for crystalline MgFeCl2 at its relaxed geometry, as listed in Alexandria via LeMat-Bulk.

Output
formation energy from raw total energies	-0.13	eV per atom
space group	I-4m2 (119)

Cell: 6.5229 6.5229 6.5229 Å, 147.77 147.77 46.23°
Closest atoms and distances in Å follow each position.
Sites, in units of the cell vectors:
Mg 0.7500 0.2500 0.5000  4 Cl 2.56
Cl 0.0000 0.0000 0.0000  4 Fe 2.56
Cl 0.2500 0.7500 0.5000  4 Mg 2.56
Fe 0.5000 0.5000 0.0000  4 Cl 2.56

# 3
First-principles (PBE) data for crystalline Ac3Pm3Dy at its relaxed geometry, as listed in Alexandria via LeMat-Bulk.

Output
space group	Pnma (62)
formation enthalpy at 0 K	189	meV per atom

Cell: 5.6479 13.8865 14.1031 Å, 90.00 90.00 90.00°
Closest atoms and distances in Å follow each position.
Sites, in units of the cell vectors:
Dy 0.7500 0.9545 0.1873  4 Pm 3.52-3.69, 5 Ac 3.55-3.83
Pm 0.7500 0.2081 0.6995  2 Pm 3.36-3.39, 1 Ac 3.42
Pm 0.2500 0.0359 0.3123  1 Pm 3.39, 2 Dy 3.52, 4 Ac 3.57-3.63
Ac 0.7500 0.1875 0.3621  6 Pm 3.59-3.92, 1 Dy 3.77
Dy 0.2500 0.5455 0.6873  4 Pm 3.52-3.69, 5 Ac 3.55-3.83
Pm 0.7500 0.9641 0.6877  1 Pm 3.39, 2 Dy 3.52, 4 Ac 3.57-3.63
Ac 0.2500 0.0944 0.5584  6 Pm 3.57-3.82, 1 Dy 3.65
Ac 0.2500 0.5898 0.4392  5 Pm 3.42-3.63, 3 Dy 3.55-3.83
Ac 0.7500 0.6875 0.1379  6 Pm 3.59-3.92, 1 Dy 3.77
Ac 0.7500 0.9056 0.4416  6 Pm 3.57-3.82, 1 Dy 3.65
Pm 0.7500 0.6645 0.5658  1 Pm 3.36, 5 Ac 3.50-3.64, 2 Dy 3.69
Pm 0.7500 0.1645 0.9342  1 Pm 3.36, 5 Ac 3.50-3.64, 2 Dy 3.69
Pm 0.7500 0.7081 0.8005  2 Pm 3.36-3.39, 1 Ac 3.42
Pm 0.2500 0.2919 0.1995  2 Pm 3.36-3.39, 1 Ac 3.42
Ac 0.7500 0.4056 0.0584  6 Pm 3.57-3.82, 1 Dy 3.65
Ac 0.2500 0.0898 0.0608  5 Pm 3.42-3.63, 3 Dy 3.55-3.83
Ac 0.2500 0.3125 0.8621  6 Pm 3.59-3.92, 1 Dy 3.77
Ac 0.7500 0.4102 0.5608  5 Pm 3.42-3.63, 3 Dy 3.55-3.83
Pm 0.2500 0.8355 0.0658  1 Pm 3.36, 5 Ac 3.50-3.64, 2 Dy 3.69
Ac 0.7500 0.9102 0.9392  5 Pm 3.42-3.63, 3 Dy 3.55-3.83
Dy 0.7500 0.4545 0.3127  4 Pm 3.52-3.69, 5 Ac 3.55-3.83
Ac 0.2500 0.5944 0.9416  6 Pm 3.57-3.82, 1 Dy 3.65
Pm 0.2500 0.5359 0.1877  1 Pm 3.39, 2 Dy 3.52, 4 Ac 3.57-3.63
Pm 0.2500 0.3355 0.4342  1 Pm 3.36, 5 Ac 3.50-3.64, 2 Dy 3.69
Dy 0.2500 0.0455 0.8127  4 Pm 3.52-3.69, 5 Ac 3.55-3.83
Pm 0.2500 0.7919 0.3005  2 Pm 3.36-3.39, 1 Ac 3.42
Pm 0.7500 0.4641 0.8123  1 Pm 3.39, 2 Dy 3.52, 4 Ac 3.57-3.63
Ac 0.2500 0.8125 0.6379  6 Pm 3.59-3.92, 1 Dy 3.77

# 4
First-principles (PBE) data for crystalline CdF at its relaxed geometry, as listed in Alexandria via LeMat-Bulk.

Output
formation energy from raw total energies	-1.35	eV per atom
space group	P6_3mc (186)

Cell: 3.2995 3.2995 7.8668 Å, 90.00 90.00 120.00°
Closest atoms and distances in Å follow each position.
Sites, in units of the cell vectors:
Cd 0.3333 0.6667 0.6984  4 F 2.40-2.48
F 0.3333 0.6667 0.3836  4 Cd 2.40-2.48
Cd 0.6667 0.3333 0.1984  4 F 2.40-2.48
F 0.6667 0.3333 0.8836  4 Cd 2.40-2.48

# 5
First-principles (PBE) data for crystalline TiCl3 at its relaxed geometry, as listed in Alexandria via LeMat-Bulk.

Output
formation energy from raw total energies	-0.36	eV per atom
space group	R-3m (166)

Cell: 11.3960 11.3960 11.3960 Å, 17.15 17.15 17.15°
Closest atoms and distances in Å follow each position.
Sites, in units of the cell vectors:
Cl 0.5000 0.5000 0.5000  6 Cl 3.40
Ti 0.0000 0.0000 0.0000  2 Cl 2.17
Cl 0.9355 0.9355 0.9355  1 Ti 2.17
Cl 0.0645 0.0645 0.0645  1 Ti 2.17

# 6
First-principles (PBE) data for crystalline CsNaSnSe3 at its relaxed geometry, as listed in Alexandria via LeMat-Bulk.

Output
formation energy from raw total energies	-0.71	eV per atom
space group	C2/m (12)

Cell: 7.3750 7.3750 10.0842 Å, 75.89 75.89 80.89°
Closest atoms and distances in Å follow each position.
Sites, in units of the cell vectors:
Cs 0.6864 0.6864 0.8409  5 Se 3.68-3.79
Na 0.7035 0.2965 0.5000  4 Se 2.93-2.98
Se 0.7081 0.7081 0.4661  1 Sn 2.46
Sn 0.9137 0.9137 0.2801  3 Se 2.46-2.47
Na 0.2965 0.7035 0.5000  4 Se 2.93-2.98
Se 0.8142 0.2529 0.2092  1 Sn 2.47
Se 0.7471 0.1858 0.7908  1 Sn 2.47
Se 0.1858 0.7471 0.7908  1 Sn 2.47
Sn 0.0863 0.0863 0.7199  3 Se 2.46-2.47
Se 0.2529 0.8142 0.2092  1 Sn 2.47
Se 0.2919 0.2919 0.5339  1 Sn 2.46
Cs 0.3136 0.3136 0.1591  5 Se 3.68-3.79

# 7
First-principles (PBE) data for crystalline Ca2ReRh at its relaxed geometry, as listed in Alexandria via LeMat-Bulk.

Output
space group	I4/mmm (139)
formation enthalpy at 0 K	602	meV per atom

Cell: 5.3931 5.3931 5.3931 Å, 133.65 133.65 67.64°
Closest atoms and distances in Å follow each position.
Sites, in units of the cell vectors:
Re 0.2500 0.7500 0.5000  4 Rh 3.00, 8 Ca 3.09
Ca 0.0000 0.0000 0.0000  4 Ca 3.00, 4 Rh 3.09, 4 Re 3.09
Rh 0.7500 0.2500 0.5000  4 Re 3.00, 8 Ca 3.09
Ca 0.5000 0.5000 0.0000  4 Ca 3.00, 4 Re 3.09, 4 Rh 3.09

# 8
First-principles (PBE) data for crystalline HoTlFe4 at its relaxed geometry, as listed in Alexandria via LeMat-Bulk.

Output
space group	F-43m (216)
formation enthalpy at 0 K	47	meV per atom

Cell: 5.0754 5.0754 5.0754 Å, 60.00 60.00 60.00°
Closest atoms and distances in Å follow each position.
Sites, in units of the cell vectors:
Fe 0.6252 0.1245 0.6252  6 Fe 2.53-2.54
Fe 0.6252 0.6252 0.1245  6 Fe 2.53-2.54
Ho 0.0000 0.0000 0.0000  12 Fe 2.98, 4 Tl 3.11
Fe 0.6252 0.6252 0.6252  6 Fe 2.53-2.54
Fe 0.1245 0.6252 0.6252  6 Fe 2.53-2.54
Tl 0.2500 0.2500 0.2500  12 Fe 2.98, 4 Ho 3.11

# 9
First-principles (PBE) data for crystalline NiHg2P at its relaxed geometry, as listed in Alexandria via LeMat-Bulk.

Output
space group	F-43m (216)
formation enthalpy at 0 K	582	meV per atom

Cell: 4.6882 4.6882 4.6882 Å, 60.00 60.00 60.00°
Closest atoms and distances in Å follow each position.
Sites, in units of the cell vectors:
Ni 0.5000 0.5000 0.5000  4 Hg 2.87, 4 P 2.87
Hg 0.0000 0.0000 0.0000  4 P 2.87, 4 Hg 2.87
Hg 0.7500 0.7500 0.7500  4 Hg 2.87, 4 Ni 2.87
P 0.2500 0.2500 0.2500  4 Ni 2.87, 4 Hg 2.87

# 10
First-principles (PBE) data for crystalline TlIn2I2 at its relaxed geometry, as listed in Alexandria via LeMat-Bulk.

Output
formation energy from raw total energies	-0.24	eV per atom
space group	P4/mbm (127)

Cell: 9.2966 9.2966 4.5435 Å, 90.00 90.00 90.00°
Closest atoms and distances in Å follow each position.
Sites, in units of the cell vectors:
In 0.6531 0.8469 0.5000  6 I 3.39-3.66
I 0.8441 0.6559 0.0000  6 In 3.39-3.66, 2 Tl 3.51
I 0.3441 0.8441 0.0000  6 In 3.39-3.66, 2 Tl 3.51
In 0.3469 0.1531 0.5000  6 I 3.39-3.66
Tl 0.5000 0.5000 0.0000  4 I 3.51
Tl 0.0000 0.0000 0.0000  4 I 3.51
In 0.1531 0.6531 0.5000  6 I 3.39-3.66
In 0.8469 0.3469 0.5000  6 I 3.39-3.66
I 0.6559 0.1559 0.0000  6 In 3.39-3.66, 2 Tl 3.51
I 0.1559 0.3441 0.0000  6 In 3.39-3.66, 2 Tl 3.51

# 11
First-principles (PBE) data for crystalline KRb3Sb2O6 at its relaxed geometry, as listed in Alexandria via LeMat-Bulk.

Output
formation energy from raw total energies	-1.35	eV per atom
space group	P-3m1 (164)

Cell: 6.7006 6.7006 7.6174 Å, 90.00 90.00 120.00°
Closest atoms and distances in Å follow each position.
Sites, in units of the cell vectors:
O 0.6393 0.8197 0.2762  1 Sb 1.92
Rb 0.0000 0.0000 0.0000  6 O 2.97
Sb 0.6667 0.3333 0.8183  3 O 1.92
O 0.1803 0.3607 0.2762  1 Sb 1.92
O 0.8197 0.1803 0.7238  1 Sb 1.92
K 0.0000 0.0000 0.5000  6 O 2.70
O 0.8197 0.6393 0.7238  1 Sb 1.92
O 0.3607 0.1803 0.7238  1 Sb 1.92
Rb 0.3333 0.6667 0.6483  9 O 3.34-3.40, 1 Sb 3.55
Sb 0.3333 0.6667 0.1817  3 O 1.92
Rb 0.6667 0.3333 0.3517  9 O 3.34-3.40, 1 Sb 3.55
O 0.1803 0.8197 0.2762  1 Sb 1.92

# 12
First-principles (PBE) data for crystalline Cs2InICl2 at its relaxed geometry, as listed in Alexandria via LeMat-Bulk.

Output
formation energy from raw total energies	-1.35	eV per atom
space group	P4/mmm (123)

Cell: 5.8741 5.8741 8.3215 Å, 90.00 90.00 90.00°
Closest atoms and distances in Å follow each position.
Sites, in units of the cell vectors:
Cs 0.5000 0.5000 0.2504  4 Cl 3.60
Cs 0.5000 0.5000 0.7496  4 Cl 3.60
In 0.0000 0.0000 0.0000  4 Cl 2.94
Cl 0.0000 0.5000 0.0000  2 In 2.94
Cl 0.5000 0.0000 0.0000  2 In 2.94
I 0.0000 0.0000 0.5000  2 In 4.16, 8 Cs 4.64

Going through the records in order, we get M_tot values of 0.00 2.59 0.00 0.00 0.88 0.00 1.80 7.99 0.00 0.00 2.00 0.00 μB per formula unit.